No. 1
This record from the Alexandria database describes crystalline LiEuBeAl at its relaxed geometry. The functional is PBE-GGA.

```
LiEuBeAl
1.0
0.000 3.297 3.297
3.297 0.000 3.297
3.297 3.297 0.000
Li Eu Be Al
1 1 1 1
Cartesian
0.000 0.000 0.000
1.649 1.649 1.649
3.297 3.297 3.297
4.946 4.946 4.946
```

Values from the calculation:
energy of formation	-0.010	eV/atom

No. 2
This record from the Alexandria database describes crystalline BeAl3F at its relaxed geometry. The functional is PBE-GGA.

```
BeAl3F
1.0
4.356 0.000 0.000
0.000 4.356 0.000
0.000 0.000 4.356
Be Al F
1 3 1
Cartesian
0.000 0.000 0.000
0.000 0.000 2.178
0.000 2.178 0.000
2.178 0.000 0.000
2.178 2.178 2.178
```

Values from the calculation:
excess energy over the best structure of this formula in the dataset	0.0	kJ/mol of formula units
raw formation energy	-0.257	eV/f.u.